Record 1
Compound: La5Hg2Ge2
Source: Alexandria
Functional: PBE-GGA
Structure: relaxed

* total DFT energy (no corrections): -4.456 eV/atom
* E_form: -625.3 meV/atom

Lattice parameters (Å, degrees): 16.609 8.100 8.122 90.00 90.00 90.00
Space group Cmce (No. 64)
One atom of each set of equivalent atoms:
La: 0.000 0.000 0.000 (multiplicity 4)
La: 0.129 0.182 0.326 (multiplicity 16)
Hg: 0.215 0.000 0.000 (multiplicity 8)
Ge: 0.000 0.121 0.623 (multiplicity 8)

***

Record 2
Compound: LaHgGe
Source: Alexandria
Functional: PBE-GGA
Structure: relaxed

* total DFT energy (no corrections): -3.604 eV/atom
* E_form: -322.3 meV/atom

Lattice parameters (Å, degrees): 4.231 4.231 9.119 90.00 90.00 90.00
Space group I4mm (No. 107)
One atom of each set of equivalent atoms:
La: 0.000 0.000 0.000 (multiplicity 2)
Hg: 0.000 0.000 0.667 (multiplicity 2)
Ge: 0.000 0.000 0.350 (multiplicity 2)

***

Record 3
Compound: LaHg2Ge
Source: Alexandria
Functional: PBE-GGA
Structure: relaxed

* total DFT energy (no corrections): -2.292 eV/atom
* E_form: 245.2 meV/atom

Lattice parameters (Å, degrees): 3.3712 3.3712 33.7573 90.00 90.00 120.00
Space group R-3m (No. 166, hexagonal axes)
One atom of each set of equivalent atoms:
La: 0.0000 0.0000 0.0000 (multiplicity 3)
Hg: 0.0000 0.0000 0.0952 (multiplicity 6)
Ge: 0.0000 0.0000 0.5000 (multiplicity 3)

***

Record 4
Compound: LaHgGe2
Source: Alexandria
Functional: PBE-GGA
Structure: relaxed

* total DFT energy (no corrections): -3.815 eV/atom
* E_form: -199.1 meV/atom

Lattice parameters (Å, degrees): 4.728 4.728 19.149 90.00 90.00 90.00
Space group I-42d (No. 122)
One atom of each set of equivalent atoms:
La: 0.000 0.000 0.000 (multiplicity 4)
Hg: 0.000 0.000 0.500 (multiplicity 4)
Ge: 0.154 0.250 0.625 (multiplicity 8)

***

Record 5
Compound: LaHg2Ge
Source: Alexandria
Functional: PBE-GGA
Structure: relaxed

* total DFT energy (no corrections): -2.843 eV/atom
* E_form: -306.2 meV/atom

Lattice parameters (Å, degrees): 4.482 4.482 21.995 90.00 90.00 90.00
Space group I-42d (No. 122)
One atom of each set of equivalent atoms:
La: 0.000 0.000 0.000 (multiplicity 4)
Hg: 0.217 0.250 0.625 (multiplicity 8)
Ge: 0.000 0.000 0.500 (multiplicity 4)

***

Record 6
Compound: LaHg2Ge2
Source: Alexandria
Functional: PBE-GGA
Structure: relaxed

* total DFT energy (no corrections): -3.242 eV/atom
* excess energy over the best structure of this formula in the dataset: 0.0 meV/atom
* E_form: -288.6 meV/atom

Lattice parameters (Å, degrees): 4.398 4.398 12.440 90.00 90.00 90.00
Space group I4/mmm (No. 139)
One atom of each set of equivalent atoms:
La: 0.000 0.000 0.000 (multiplicity 2)
Hg: 0.000 0.500 0.250 (multiplicity 4)
Ge: 0.000 0.000 0.399 (multiplicity 4)

***

Record 7
Compound: LaHg2Ge2
Source: Alexandria
Functional: PBE-GGA
Structure: relaxed

* total DFT energy (no corrections): -3.166 eV/atom
* excess energy over the best structure of this formula in the dataset: 75.5 meV/atom
* E_form: -213.1 meV/atom

Lattice parameters (Å, degrees): 4.852 4.852 10.557 90.00 90.00 90.00
Space group I4/mmm (No. 139)
One atom of each set of equivalent atoms:
La: 0.000 0.000 0.000 (multiplicity 2)
Hg: 0.000 0.000 0.371 (multiplicity 4)
Ge: 0.000 0.500 0.250 (multiplicity 4)

***

Record 8
Compound: La3HgGe2
Source: Alexandria
Functional: PBE-GGA
Structure: relaxed

* total DFT energy (no corrections): -4.711 eV/atom
* E_form: -658.0 meV/atom

Lattice parameters (Å, degrees): 17.377 4.846 4.270 90.00 103.98 90.00
Space group C2/m (No. 12)
One atom of each set of equivalent atoms:
La: 0.000 0.000 0.000 (multiplicity 2)
La: 0.173 0.500 0.174 (multiplicity 4)
Hg: 0.000 0.500 0.500 (multiplicity 2)
Ge: 0.145 0.000 0.644 (multiplicity 4)

***

Record 9
Compound: LaHgGe2
Source: Alexandria
Functional: PBE-GGA
Structure: relaxed

* total DFT energy (no corrections): -4.039 eV/atom
* E_form: -423.1 meV/atom

Lattice parameters (Å, degrees): 4.655 4.655 4.325 90.00 90.00 90.00
Space group P4/mmm (No. 123)
One atom of each set of equivalent atoms:
La: 0.000 0.000 0.000 (multiplicity 1)
Hg: 0.500 0.500 0.000 (multiplicity 1)
Ge: 0.000 0.500 0.500 (multiplicity 2)

***

Record 10
Compound: La2Hg2Ge
Source: Alexandria
Functional: PBE-GGA
Structure: relaxed

* total DFT energy (no corrections): -3.440 eV/atom
* excess energy over the best structure of this formula in the dataset: 0.0 meV/atom
* E_form: -424.7 meV/atom

Lattice parameters (Å, degrees): 7.701 7.701 4.740 90.00 90.00 90.00
Space group P4/mbm (No. 127)
One atom of each set of equivalent atoms:
La: 0.172 0.328 0.000 (multiplicity 4)
Hg: 0.133 0.633 0.500 (multiplicity 4)
Ge: 0.000 0.000 0.500 (multiplicity 2)

***

Record 11
Compound: LaLuHgGe
Source: Alexandria
Functional: PBE-GGA
Structure: relaxed

* total DFT energy (no corrections): -4.127 eV/atom
* E_form: -535.4 meV/atom

Lattice parameters (Å, degrees): 7.420 7.420 7.420 90.00 90.00 90.00
Space group F-43m (No. 216)
One atom of each set of equivalent atoms:
La: 0.000 0.000 0.000 (multiplicity 4)
Lu: 0.000 0.000 0.500 (multiplicity 4)
Hg: 0.250 0.250 0.250 (multiplicity 4)
Ge: 0.250 0.250 0.750 (multiplicity 4)

***

Record 12
Compound: LaMgHgGe
Source: Alexandria
Functional: PBE-GGA
Structure: relaxed

* total DFT energy (no corrections): -3.312 eV/atom
* E_form: -452.0 meV/atom

Lattice parameters (Å, degrees): 7.331 7.331 7.331 90.00 90.00 90.00
Space group F-43m (No. 216)
One atom of each set of equivalent atoms:
La: 0.000 0.000 0.000 (multiplicity 4)
Mg: 0.000 0.000 0.500 (multiplicity 4)
Hg: 0.250 0.250 0.250 (multiplicity 4)
Ge: 0.250 0.250 0.750 (multiplicity 4)

***

Record 13
Compound: La4HgGeO
Source: Alexandria
Functional: PBE-GGA
Structure: relaxed

* total DFT energy (no corrections): -5.406 eV/atom

Lattice parameters (Å, degrees): 6.889 16.538 6.912 90.00 90.00 90.00
Space group Cmcm (No. 63)
One atom of each set of equivalent atoms:
La: 0.000 0.069 0.250 (multiplicity 4)
La: 0.000 0.424 0.250 (multiplicity 4)
La: 0.250 0.250 0.000 (multiplicity 8)
Hg: 0.000 0.387 0.750 (multiplicity 4)
Ge: 0.000 0.116 0.750 (multiplicity 4)
O: 0.000 0.255 0.250 (multiplicity 4)

***

Record 14
Compound: La2HgGeOs
Source: Alexandria
Functional: PBE-GGA
Structure: relaxed

* total DFT energy (no corrections): -4.342 eV/atom
* E_form: 859.0 meV/atom

Lattice parameters (Å, degrees): 5.778 5.778 4.961 90.00 90.00 90.00
Space group P4/mmm (No. 123)
One atom of each set of equivalent atoms:
La: 0.000 0.500 0.000 (multiplicity 2)
Hg: 0.000 0.000 0.000 (multiplicity 1)
Ge: 0.500 0.500 0.500 (multiplicity 1)
Os: 0.000 0.000 0.500 (multiplicity 1)

***

Record 15
Compound: LaHgGePb
Source: Alexandria
Functional: PBE-GGA
Structure: relaxed

* total DFT energy (no corrections): -3.718 eV/atom
* E_form: -329.6 meV/atom

Lattice parameters (Å, degrees): 7.581 7.581 7.581 90.00 90.00 90.00
Space group F-43m (No. 216)
One atom of each set of equivalent atoms:
La: 0.000 0.000 0.000 (multiplicity 4)
Hg: 0.250 0.250 0.250 (multiplicity 4)
Ge: 0.250 0.250 0.750 (multiplicity 4)
Pb: 0.000 0.000 0.500 (multiplicity 4)

***

Record 16
Compound: LaPmHgGe
Source: Alexandria
Functional: PBE-GGA
Structure: relaxed

* total DFT energy (no corrections): -4.237 eV/atom
* E_form: -587.3 meV/atom

Lattice parameters (Å, degrees): 7.567 7.567 7.567 90.00 90.00 90.00
Space group F-43m (No. 216)
One atom of each set of equivalent atoms:
La: 0.000 0.000 0.000 (multiplicity 4)
Pm: 0.000 0.000 0.500 (multiplicity 4)
Hg: 0.250 0.250 0.250 (multiplicity 4)
Ge: 0.250 0.250 0.750 (multiplicity 4)

***

Record 17
Compound: LaHgGe2Pt
Source: Alexandria
Functional: PBE-GGA
Structure: relaxed

* total DFT energy (no corrections): -4.201 eV/atom
* E_form: -99.9 meV/atom

Lattice parameters (Å, degrees): 4.987 4.987 5.516 90.00 90.00 90.00
Space group P4/mmm (No. 123)
One atom of each set of equivalent atoms:
La: 0.000 0.000 0.000 (multiplicity 1)
Hg: 0.500 0.500 0.000 (multiplicity 1)
Ge: 0.000 0.500 0.500 (multiplicity 2)
Pt: 0.500 0.500 0.500 (multiplicity 1)

***

Record 18
Compound: La2HgGe3Pt4
Source: Alexandria
Functional: PBE-GGA
Structure: relaxed

* total DFT energy (no corrections): -5.659 eV/atom
* E_form: -842.2 meV/atom

Lattice parameters (Å, degrees): 4.411 4.411 10.627 90.00 90.00 90.00
Space group P-4m2 (No. 115)
One atom of each set of equivalent atoms:
La: 0.000 0.500 0.247 (multiplicity 2)
Hg: 0.000 0.000 0.500 (multiplicity 1)
Ge: 0.000 0.500 0.879 (multiplicity 2)
Ge: 0.500 0.500 0.500 (multiplicity 1)
Pt: 0.000 0.000 0.000 (multiplicity 1)
Pt: 0.000 0.500 0.651 (multiplicity 2)
Pt: 0.500 0.500 0.000 (multiplicity 1)

***

Record 19
Compound: LaRe2HgGe
Source: Alexandria
Functional: PBE-GGA
Structure: relaxed

* total DFT energy (no corrections): -5.856 eV/atom
* E_form: 1092.4 meV/atom

Lattice parameters (Å, degrees): 4.675 4.675 5.490 90.00 90.00 90.00
Space group P4/mmm (No. 123)
One atom of each set of equivalent atoms:
La: 0.000 0.000 0.000 (multiplicity 1)
Re: 0.000 0.500 0.500 (multiplicity 2)
Hg: 0.500 0.500 0.000 (multiplicity 1)
Ge: 0.000 0.000 0.500 (multiplicity 1)

***

Record 20
Compound: LaScHgGe
Source: Alexandria
Functional: PBE-GGA
Structure: relaxed

* total DFT energy (no corrections): -4.560 eV/atom
* E_form: -515.4 meV/atom

Lattice parameters (Å, degrees): 7.315 7.315 7.315 90.00 90.00 90.00
Space group F-43m (No. 216)
One atom of each set of equivalent atoms:
La: 0.000 0.000 0.000 (multiplicity 4)
Sc: 0.000 0.000 0.500 (multiplicity 4)
Hg: 0.250 0.250 0.250 (multiplicity 4)
Ge: 0.250 0.250 0.750 (multiplicity 4)

***

Record 21
Compound: SrLaHgGe
Source: Alexandria
Functional: PBE-GGA
Structure: relaxed

* total DFT energy (no corrections): -3.434 eV/atom
* E_form: -551.7 meV/atom

Lattice parameters (Å, degrees): 7.751 7.751 7.751 90.00 90.00 90.00
Space group F-43m (No. 216)
One atom of each set of equivalent atoms:
Sr: 0.000 0.000 0.000 (multiplicity 4)
La: 0.000 0.000 0.500 (multiplicity 4)
Hg: 0.250 0.250 0.250 (multiplicity 4)
Ge: 0.250 0.250 0.750 (multiplicity 4)

***

Record 22
Compound: LaTbHgGe
Source: Alexandria
Functional: PBE-GGA
Structure: relaxed

* total DFT energy (no corrections): -4.196 eV/atom
* E_form: -576.6 meV/atom

Lattice parameters (Å, degrees): 7.493 7.493 7.493 90.00 90.00 90.00
Space group F-43m (No. 216)
One atom of each set of equivalent atoms:
La: 0.000 0.000 0.000 (multiplicity 4)
Tb: 0.000 0.000 0.500 (multiplicity 4)
Hg: 0.250 0.250 0.750 (multiplicity 4)
Ge: 0.250 0.250 0.250 (multiplicity 4)

***

Record 23
Compound: La2Zn4HgGe3
Source: Alexandria
Functional: PBE-GGA
Structure: relaxed

* total DFT energy (no corrections): -3.351 eV/atom
* E_form: -440.5 meV/atom

Lattice parameters (Å, degrees): 4.425 4.425 10.581 90.00 90.00 90.00
Space group P-4m2 (No. 115)
One atom of each set of equivalent atoms:
La: 0.000 0.500 0.245 (multiplicity 2)
Zn: 0.000 0.000 0.000 (multiplicity 1)
Zn: 0.000 0.500 0.637 (multiplicity 2)
Zn: 0.500 0.500 0.000 (multiplicity 1)
Hg: 0.000 0.000 0.500 (multiplicity 1)
Ge: 0.000 0.500 0.869 (multiplicity 2)
Ge: 0.500 0.500 0.500 (multiplicity 1)

***

Record 24
Compound: La2Zn3HgGe4
Source: Alexandria
Functional: PBE-GGA
Structure: relaxed

* total DFT energy (no corrections): -3.645 eV/atom
* E_form: -399.8 meV/atom

Lattice parameters (Å, degrees): 4.558 4.558 10.248 90.00 90.00 90.00
Space group P-4m2 (No. 115)
One atom of each set of equivalent atoms:
La: 0.000 0.500 0.238 (multiplicity 2)
Zn: 0.000 0.500 0.884 (multiplicity 2)
Zn: 0.500 0.500 0.500 (multiplicity 1)
Hg: 0.000 0.000 0.500 (multiplicity 1)
Ge: 0.000 0.000 0.000 (multiplicity 1)
Ge: 0.000 0.500 0.645 (multiplicity 2)
Ge: 0.500 0.500 0.000 (multiplicity 1)

***

Record 25
Compound: Li6Hg3Ge
Source: Alexandria
Functional: PBE-GGA
Structure: relaxed

* total DFT energy (no corrections): -2.026 eV/atom
* E_form: -325.5 meV/atom

Lattice parameters (Å, degrees): 7.878 4.683 10.325 90.00 112.00 90.00
Space group P2_1/m (No. 11)
One atom of each set of equivalent atoms:
Li: 0.016 0.250 0.148 (multiplicity 2)
Li: 0.161 0.750 0.616 (multiplicity 2)
Li: 0.200 0.250 0.981 (multiplicity 2)
Li: 0.380 0.750 0.414 (multiplicity 2)
Li: 0.402 0.250 0.261 (multiplicity 2)
Li: 0.415 0.250 0.781 (multiplicity 2)
Hg: 0.015 0.250 0.692 (multiplicity 2)
Hg: 0.241 0.250 0.484 (multiplicity 2)
Hg: 0.370 0.750 0.913 (multiplicity 2)
Ge: 0.214 0.750 0.138 (multiplicity 2)

***

Record 26
Compound: Li4HgGe2
Source: Alexandria
Functional: PBE-GGA
Structure: relaxed

* total DFT energy (no corrections): -2.721 eV/atom
* E_form: -265.3 meV/atom

Lattice parameters (Å, degrees): 9.300 3.837 6.883 90.00 96.53 90.00
Space group C2/m (No. 12)
One atom of each set of equivalent atoms:
Li: 0.065 0.000 0.200 (multiplicity 4)
Li: 0.211 0.000 0.662 (multiplicity 4)
Hg: 0.000 0.500 0.500 (multiplicity 2)
Ge: 0.161 0.500 0.944 (multiplicity 4)